This record from the Alexandria database describes Cu2NiPb after structural relaxation. The functional is GGA-PBE.

E_tot ... -33.613 eV/cell
Volume ... 14.94 Å³/atom
Mass density ... 10.921 Mg/m³
Calculated formation energy ... 219 meV/atom

```
data_Cu2NiPb
_chemical_formula_sum 'Cu4 Ni2 Pb2'
_space_group_name_H-M_alt 'I m m m'
_space_group_IT_number 71
_space_group_name_Hall '-I 2 2'
_cell_length_a 3.7743
_cell_length_b 3.8456
_cell_length_c 8.2337
_cell_angle_alpha 90.00
_cell_angle_beta 90.00
_cell_angle_gamma 90.00
loop_
_atom_site_label
_atom_site_type_symbol
_atom_site_fract_x
_atom_site_fract_y
_atom_site_fract_z
Cu1 Cu 0.0000 0.0000 0.2484
Ni1 Ni 0.0000 0.5000 0.5000
Pb1 Pb 0.0000 0.5000 0.0000
```